Entry 1:
Below is a geometry-optimized SrP2Pt6 structure, with properties calculated at the GGA-PBE level.

abc: 8.584 8.584 8.584
angles: 90.00 90.00 90.00
Space group Pa-3 (No. 205)
One atom of each set of equivalent atoms:
Sr 0.000 0.000 0.000 (multiplicity 4)
P 0.194 0.694 0.806 (multiplicity 8)
Pt 0.078 0.157 0.657 (multiplicity 24)

Output
* total DFT energy (no corrections): -6.096 eV per atom



Entry 2:
Below is a geometry-optimized TmP2Pt structure, with properties calculated at the GGA-PBE level.

abc: 4.291 4.291 16.872
angles: 90.00 90.00 90.00
Space group I-42d (No. 122)
One atom of each set of equivalent atoms:
Tm 0.000 0.000 0.000 (multiplicity 4)
P 0.127 0.750 0.625 (multiplicity 8)
Pt 0.000 0.000 0.500 (multiplicity 4)

Output
* total DFT energy (no corrections): -5.994 eV per atom



Entry 3:
Below is a geometry-optimized YPPt structure, with properties calculated at the GGA-PBE level.

abc: 4.1391 4.1391 3.8986
angles: 90.00 90.00 120.00
Space group P-6m2 (No. 187)
One atom of each set of equivalent atoms:
Y 0.0000 0.0000 0.0000 (multiplicity 1)
P 0.6667 0.3333 0.5000 (multiplicity 1)
Pt 0.3333 0.6667 0.5000 (multiplicity 1)

Output
* total DFT energy (no corrections): -7.335 eV per atom



Entry 4:
Below is a geometry-optimized ZnPPt5 structure, with properties calculated at the GGA-PBE level.

abc: 3.925 3.925 7.001
angles: 90.00 90.00 90.00
Space group P4/mmm (No. 123)
One atom of each set of equivalent atoms:
Zn 0.000 0.000 0.000 (multiplicity 1)
P 0.500 0.500 0.500 (multiplicity 1)
Pt 0.000 0.500 0.291 (multiplicity 4)
Pt 0.500 0.500 0.000 (multiplicity 1)

Output
* total DFT energy (no corrections): -5.696 eV per atom



Entry 5:
Below is a geometry-optimized PuP structure, with properties calculated at the GGA-PBE level.

abc: 6.234 6.234 6.234
angles: 90.00 90.00 90.00
Space group F-43m (No. 216)
One atom of each set of equivalent atoms:
Pu 0.000 0.000 0.000 (multiplicity 4)
P 0.250 0.250 0.250 (multiplicity 4)

Output
* total DFT energy (no corrections): -10.360 eV per atom



Entry 6:
Below is a geometry-optimized PuP structure, with properties calculated at the GGA-PBE level.

abc: 5.849 5.323 5.371
angles: 90.00 90.00 90.00
Space group Pmma (No. 51)
One atom of each set of equivalent atoms:
Pu 0.000 0.000 0.000 (multiplicity 2)
Pu 0.250 0.500 0.386 (multiplicity 2)
P 0.250 0.000 0.493 (multiplicity 2)
P 0.250 0.500 0.883 (multiplicity 2)

Output
* total DFT energy (no corrections): -10.539 eV per atom